GGA-PBE ZrTe2Ru, relaxed; relative energy among the computed polymorphs = 721 meV/atom; SG = F-43m, No. 216
1.0
0.0000 3.5101 3.5101
3.5101 0.0000 3.5101
3.5101 3.5101 0.0000
Zr Te Ru
1 2 1
Cartesian
0.0000 0.0000 0.0000 Zr
1.7551 1.7551 1.7551 Te
3.5101 3.5101 3.5101 Te
5.2652 5.2652 5.2652 Ru

***

GGA-PBE Na3Li2Hg2, relaxed; relative energy among the computed polymorphs = 39 meV/atom; SG = P2/m, No. 10; formation enthalpy at 0 K = -129 meV/atom
1.0
3.4773 0.0000 0.0000
0.0000 3.3328 0.0000
-1.6542 0.0000 16.0037
Na Li Hg
3 2 2
Cartesian
0.0000 0.0000 0.0000 Na
0.0615 0.0000 9.5974 Na
1.7616 0.0000 6.4063 Na
0.0775 0.0000 13.2416 Li
1.7456 0.0000 2.7621 Li
0.0121 1.6664 4.1948 Hg
1.8110 1.6664 11.8089 Hg

***

GGA-PBE Ba8Li2Ir, relaxed; SG = C2/m, No. 12; formation enthalpy at 0 K = -8 meV/atom
1.0
12.8747 -2.4100 0.0000
12.8747 2.4100 0.0000
-0.1139 0.0000 9.3530
Ba Li Ir
8 2 1
Cartesian
0.0517 0.0000 2.0001 Ba
5.8178 0.0000 6.5404 Ba
9.8552 0.0000 0.0261 Ba
10.2361 0.0000 4.5967 Ba
15.3993 0.0000 4.7563 Ba
15.7803 0.0000 9.3269 Ba
19.8177 0.0000 2.8126 Ba
25.5837 0.0000 7.3529 Ba
4.1884 0.0000 2.6396 Li
21.4471 0.0000 6.7134 Li
12.8747 0.0000 0.0000 Ir

***

| no. | VASP energy (eV/cell) | total magnetization (μB per cell) | calculated volume (Å³/f.u.) |
| --- | --- | --- | --- |
| 1 | -23.10 | 0.02 | 86.5 |
| 2 | -9.29 | 0.00 | 185.5 |
| 3 | -28.16 | 0.14 | 580.4 |